VASP calculation (PBE-GGA) on a relaxed structure of TaCd2Br.

The value obtained for the offset from the most stable computed form is 750 meV/atom. The total moment is 0.00 μB/cell. The value obtained for the density of states at the Fermi level is 6.45 states/eV/cell. As for the energy relative to the elements, uncorrected: 0.762 eV/atom.

Cell lengths 6.967, 6.967, 6.967 Å; angles 90.00, 90.00, 90.00 degrees
Space group F-43m (No. 216)
Unique sites:
Ta (0.000, 0.000, 0.000)
Cd (0.000, 0.000, 0.500)
Cd (0.250, 0.250, 0.750)
Br (0.250, 0.250, 0.250)